First-principles (PBE) data for an optimized crystal structure of ThUSn6, as listed in OQMD.

* DFT total energy: -44.92 eV for the cell shown
* magnetic moment: 0.005 μB per cell

a b c (Å): 4.682 4.682 9.374
angles (deg): 90.00 90.00 90.00
Fractional positions:
Sn  0.500  0.500  0.000
Sn  0.500  0.000  0.257
Sn  0.000  0.500  0.257
Sn  0.500  0.500  0.500
Sn  0.500  0.000  0.743
Sn  0.000  0.500  0.743
Th  0.000  0.000  0.000
U  0.000  0.000  0.500